1.
Compound: GaBSbI2
Source: Alexandria
Functional: PBE-GGA
Structure: relaxed Values from VASP.

The structure in Quantum ESPRESSO input format:
```
&SYSTEM
  ibrav = 0, nat = 5, ntyp = 4
/
ATOMIC_SPECIES
I 126.90 I.upf
Ga 69.72 Ga.upf
Sb 121.76 Sb.upf
B 10.81 B.upf
CELL_PARAMETERS angstrom
-3.515 4.402 0.978
-0.237 -1.419 5.534
3.539 2.642 0.829
ATOMIC_POSITIONS crystal
I 0.000 0.500 0.000
Ga 0.500 0.500 0.500
I 0.500 0.000 0.000
Sb 0.000 0.000 0.500
B 0.000 0.000 0.000
```

Calculated values
ρ = 5.16 g/cm³
energy relative to the elements, uncorrected = 3.27 eV per formula unit
total magnetization = 0.00 μB per formula unit
crystal system = tetragonal
energy relative to the lowest polymorph listed for this composition = 0.0 meV/atom
SG = P4/mmm
final energy = -2.7304 eV/atom

2.
Compound: NdZn6Pd
Source: Alexandria
Functional: PBE-GGA
Structure: relaxed Values from VASP.

The structure in Quantum ESPRESSO input format:
```
&SYSTEM
  ibrav = 0, nat = 8, ntyp = 3
/
ATOMIC_SPECIES
Nd 144.24 Nd.upf
Zn 65.41 Zn.upf
Pd 106.42 Pd.upf
CELL_PARAMETERS angstrom
-0.272 -3.112 -3.071
4.045 -1.347 1.007
-2.938 -4.908 5.234
ATOMIC_POSITIONS crystal
Nd 0.000 0.000 0.000
Zn 0.000 0.500 0.324
Zn 0.500 0.000 0.676
Zn 0.000 0.500 0.676
Zn 0.500 0.500 0.154
Zn 0.500 0.500 0.846
Zn 0.500 0.000 0.324
Pd 0.000 0.000 0.500
```

Calculated values
ρ = 7.18 g/cm³
total magnetization = 0.00 μB per formula unit
crystal system = tetragonal
SG = P4/mmm
energy of formation = -6.63 kcal/mol of atoms
final energy = -2.4880 eV/atom

3.
Compound: Tb2SmHg3
Source: Alexandria
Functional: PBE-GGA
Structure: relaxed Values from VASP.

The structure in Quantum ESPRESSO input format:
```
&SYSTEM
  ibrav = 0, nat = 6, ntyp = 3
/
ATOMIC_SPECIES
Hg 200.59 Hg.upf
Sm 150.36 Sm.upf
Tb 158.93 Tb.upf
CELL_PARAMETERS angstrom
-3.526 -1.174 0.564
1.245 -2.558 2.457
-1.150 7.471 8.361
ATOMIC_POSITIONS crystal
Hg 0.000 0.000 0.000
Sm 0.500 0.500 0.500
Tb 0.500 0.500 0.165
Tb 0.500 0.500 0.835
Hg 0.000 0.000 0.673
Hg 0.000 0.000 0.327
```

Calculated values
ρ = 11.16 g/cm³
total magnetization = 0.81 μB per formula unit
crystal system = tetragonal
SG = P4/mmm
energy of formation = -11.00 kcal/mol of atoms
final energy = -2.9577 eV/atom